No. 1
Here is crystalline Mg7Os at its relaxed geometry from Alexandria. Energies are from GGA-PBE.

Size of the total moment in μB per formula unit: 0.0
ΔH_f (0 K) in eV per atom: 0.155
Uncorrected energy in eV per cell: -21.1
Calculated volume in Å³/atom: 19.516
Space-group type: Fm-3m

a = 6.0441 Å, b = 6.0441 Å, c = 6.0441 Å
α = 60.00°, β = 60.00°, γ = 60.00°
Sites, in units of the cell vectors:
Mg1 0.0000 0.0000 0.0000
Mg2 0.0000 0.0000 0.5000
Mg3 0.0000 0.5000 0.0000
Mg4 0.0000 0.5000 0.5000
Mg5 0.5000 0.0000 0.0000
Mg6 0.5000 0.0000 0.5000
Mg7 0.5000 0.5000 0.0000
Os1 0.5000 0.5000 0.5000



No. 2
Here is crystalline MgOs5 at its relaxed geometry from Alexandria. Energies are from GGA-PBE.

Size of the total moment in μB per formula unit: 0.0
ΔH_f (0 K) in eV per atom: 0.650
Uncorrected energy in eV per cell: -53.8
Calculated volume in Å³/atom: 16.815
Space-group type: P6/mmm

a = 5.0708 Å, b = 5.0708 Å, c = 4.5306 Å
α = 90.00°, β = 90.00°, γ = 120.00°
Sites, in units of the cell vectors:
Mg1 0.0000 0.0000 0.0000
Os1 0.0000 0.5000 0.5000
Os2 0.3333 0.6667 0.0000
Os3 0.5000 0.0000 0.5000
Os4 0.5000 0.5000 0.5000
Os5 0.6667 0.3333 0.0000